{"formula": "K3TlAg8", "functional": "PBE-GGA", "state": "optimized geometry", "lattice_angstrom": [[-1.2693, 0.4973, -5.7471], [3.7100, -2.1846, -4.0437], [-3.7638, -8.8757, -2.9721]], "species": ["Ag", "Ag", "Ag", "Ag", "Ag", "Ag", "Ag", "Ag", "K", "K", "K", "Tl"], "frac_coords": [[0.1880, 0.1880, 0.4361], [0.4433, 0.9381, 0.6804], [0.9341, 0.4364, 0.1931], [0.4364, 0.9341, 0.1931], [0.9381, 0.9381, 0.6804], [0.9381, 0.4433, 0.6804], [0.6873, 0.6873, 0.9381], [0.4364, 0.4364, 0.1931], [0.5014, 0.5014, 0.4958], [0.3746, 0.3746, 0.8761], [0.9978, 0.9978, 0.0066], [0.8743, 0.8743, 0.3771]], "space_group": "R3m, No. 160", "rho_g_cm3": 6.9, "formation_enthalpy_0k_kcal_per_mol_atoms": 0.5}

=====

{"formula": "K4Tl5Ag", "functional": "PBE-GGA", "state": "optimized geometry", "lattice_angstrom": [[6.4931, 0.0000, 3.0385], [3.2466, 7.3994, 1.5192], [0.1104, 0.0000, 8.2211]], "species": ["Ag", "K", "K", "K", "K", "Tl", "Tl", "Tl", "Tl", "Tl"], "frac_coords": [[0.7590, 0.0000, 0.0000], [0.4925, 0.7527, 0.3637], [0.8562, 0.6363, 0.7527], [0.2452, 0.3637, 0.2473], [0.6089, 0.2473, 0.6363], [0.9588, 0.8811, 0.2872], [0.3561, 0.0000, 0.0000], [0.1271, 0.1189, 0.7128], [0.2460, 0.7128, 0.8811], [0.8399, 0.2872, 0.1189]], "space_group": "I4, No. 79", "rho_g_cm3": 5.4, "formation_enthalpy_0k_kcal_per_mol_atoms": -1.0}

=====

{"formula": "K3TlAg", "functional": "PBE-GGA", "state": "optimized geometry", "lattice_angstrom": [[-0.9876, 0.9027, -6.2571], [-6.2784, 0.6016, 1.0778], [0.7403, 6.3060, 0.7929]], "species": ["Tl", "K", "K", "K", "Ag"], "frac_coords": [[0.5000, 0.5000, 0.5000], [0.0000, 0.5000, 0.0000], [0.0000, 0.0000, 0.5000], [0.5000, 0.0000, 0.0000], [0.0000, 0.0000, 0.0000]], "relative_energy_mev_per_atom": 149, "space_group": "Pm-3m, No. 221", "rho_g_cm3": 2.7, "formation_enthalpy_0k_kcal_per_mol_atoms": 3.7}

=====

{"formula": "K12TlAg6", "functional": "PBE-GGA", "state": "optimized geometry", "lattice_angstrom": [[-10.1067, -0.4307, 1.9142], [1.5314, 3.3117, -9.6271], [4.1032, -9.3785, 1.0965]], "species": ["K", "K", "K", "K", "K", "K", "K", "K", "K", "K", "K", "K", "Ag", "Ag", "Ag", "Ag", "Ag", "Ag", "Tl"], "frac_coords": [[0.7038, 0.8835, 0.1797], [0.2962, 0.1165, 0.8203], [0.8203, 0.2962, 0.1165], [0.5241, 0.8203, 0.7038], [0.1165, 0.8203, 0.2962], [0.1797, 0.7038, 0.8835], [0.8835, 0.1797, 0.7038], [0.8203, 0.7038, 0.5241], [0.7038, 0.5241, 0.8203], [0.4759, 0.1797, 0.2962], [0.1797, 0.2962, 0.4759], [0.2962, 0.4759, 0.1797], [0.8811, 0.3811, 0.5000], [0.6189, 0.5000, 0.1189], [0.1189, 0.6189, 0.5000], [0.3811, 0.5000, 0.8811], [0.5000, 0.1189, 0.6189], [0.5000, 0.8811, 0.3811], [0.0000, 0.0000, 0.0000]], "space_group": "Im-3, No. 204", "rho_g_cm3": 2.6, "formation_enthalpy_0k_kcal_per_mol_atoms": 0.6}

=====

{"formula": "KTlZnAg2", "functional": "PBE-GGA", "state": "optimized geometry", "lattice_angstrom": [[5.1581, 0.0000, 0.0000], [0.0000, 5.1581, 0.0000], [0.0000, 0.0000, 5.3564]], "species": ["Tl", "K", "Ag", "Ag", "Zn"], "frac_coords": [[0.0000, 0.0000, 0.5000], [0.5000, 0.5000, 0.5000], [0.5000, 0.0000, 0.0000], [0.0000, 0.5000, 0.0000], [0.0000, 0.0000, 0.0000]], "space_group": "P4/mmm, No. 123", "rho_g_cm3": 6.1, "formation_enthalpy_0k_kcal_per_mol_atoms": 3.0}

=====

{"formula": "KTmAg2", "functional": "PBE-GGA", "state": "optimized geometry", "lattice_angstrom": [[3.7096, 0.0000, 0.0000], [0.0000, 3.7096, 0.0000], [0.0000, 0.0000, 8.2069]], "species": ["K", "Ag", "Ag", "Tm"], "frac_coords": [[0.5000, 0.5000, 0.5000], [0.0000, 0.0000, 0.1846], [0.0000, 0.0000, 0.8154], [0.5000, 0.5000, 0.0000]], "space_group": "P4/mmm, No. 123", "rho_g_cm3": 6.2, "formation_enthalpy_0k_kcal_per_mol_atoms": -2.7}

=====

{"formula": "K2VAg", "functional": "PBE-GGA", "state": "optimized geometry", "lattice_angstrom": [[0.0000, 4.1173, 4.1173], [4.1173, 0.0000, 4.1173], [4.1173, 4.1173, 0.0000]], "species": ["Ag", "K", "K", "V"], "frac_coords": [[0.5000, 0.5000, 0.5000], [0.7500, 0.7500, 0.7500], [0.2500, 0.2500, 0.2500], [0.0000, 0.0000, 0.0000]], "relative_energy_mev_per_atom": 75, "space_group": "Fm-3m, No. 225", "rho_g_cm3": 2.8, "formation_enthalpy_0k_kcal_per_mol_atoms": 21.5}

=====

{"formula": "K2VAg", "functional": "PBE-GGA", "state": "optimized geometry", "lattice_angstrom": [[-11.4218, 0.1387, -3.7646], [3.6758, -2.2202, -11.2343], [-4.0546, -3.6430, -7.0445]], "species": ["K", "K", "K", "K", "Ag", "Ag", "V", "V"], "frac_coords": [[0.3750, 0.2257, 0.7500], [0.7743, 0.1250, 0.2500], [0.9757, 0.6250, 0.2500], [0.8750, 0.0243, 0.7500], [0.0000, 0.0000, 0.0000], [0.7500, 0.2500, 0.5000], [0.5000, 0.5000, 0.0000], [0.2500, 0.7500, 0.5000]], "relative_energy_mev_per_atom": 0, "space_group": "I-42d, No. 122", "rho_g_cm3": 2.1, "formation_enthalpy_0k_kcal_per_mol_atoms": 19.8}

=====

| no. | total moment (μB per cell) | electronic total energy (eV/cell) |
| --- | --- | --- |
| 1 | 0.00 | -28.22 |
| 2 | 0.00 | -19.49 |
| 3 | 0.00 | -7.71 |
| 4 | 0.00 | -32.12 |
| 5 | 0.00 | -9.80 |
| 6 | 0.00 | -11.74 |
| 7 | 4.49 | -10.43 |
| 8 | 8.77 | -21.46 |